Below is Tm2ZrTe after structural relaxation, with properties calculated at the PBE-GGA level.

energy relative to the elements, uncorrected	0.031	eV per atom
V	118.7	Å³ per cell

Cell lengths 3.6432, 3.6432, 10.5413 Å; angles 80.05, 80.05, 60.00 degrees
Atoms (fractional coordinates):
Zr1 0.0000 0.0000 0.0000
Tm1 0.0979 0.0979 0.7062
Tm2 0.9021 0.9021 0.2938
Te1 0.5000 0.5000 0.5000

---

Below is Tm2ZrTe4 after structural relaxation, with properties calculated at the PBE-GGA level.

energy relative to the elements, uncorrected	-1.165	eV per atom
V	215.8	Å³ per cell

Cell lengths 4.2383, 7.4942, 8.0164 Å; angles 117.40, 105.33, 90.00 degrees
Atoms (fractional coordinates):
Tm1 0.2498 0.2330 0.4995
Tm2 0.7502 0.7670 0.5005
Te1 0.3781 0.7060 0.7562
Te2 0.1144 0.7804 0.2288
Te3 0.8856 0.2196 0.7712
Te4 0.6219 0.2940 0.2438
Zr1 0.0000 0.0000 0.0000

---

Below is Tm2ZrTe after structural relaxation, with properties calculated at the PBE-GGA level.

energy relative to the elements, uncorrected	-0.475	eV per atom
V	104.8	Å³ per cell

Cell lengths 3.7860, 3.7860, 7.3095 Å; angles 90.00, 90.00, 90.00 degrees
Atoms (fractional coordinates):
Tm1 0.0000 0.0000 0.2408
Tm2 0.0000 0.0000 0.7592
Zr1 0.5000 0.5000 0.5000
Te1 0.5000 0.5000 0.0000

---

Below is TmZrTe2 after structural relaxation, with properties calculated at the PBE-GGA level.

energy relative to the elements, uncorrected	-0.899	eV per atom
V	97.2	Å³ per cell

Cell lengths 3.6403, 3.6403, 7.3328 Å; angles 90.00, 90.00, 90.00 degrees
Atoms (fractional coordinates):
Tm1 0.5000 0.5000 0.5000
Te1 0.0000 0.0000 0.7623
Te2 0.0000 0.0000 0.2377
Zr1 0.5000 0.5000 0.0000

---

Below is TmZrTe2 after structural relaxation, with properties calculated at the PBE-GGA level.

energy relative to the elements, uncorrected	-1.026	eV per atom
V	224.2	Å³ per cell

Cell lengths 7.2748, 3.9076, 7.8865 Å; angles 90.00, 90.04, 90.00 degrees
Atoms (fractional coordinates):
Zr1 0.3259 0.7333 0.2287
Zr2 0.5761 0.2333 0.9872
Te1 0.1637 0.2333 0.4702
Te2 0.1589 0.2333 0.9941
Te3 0.7431 0.7333 0.2219
Te4 0.7382 0.7333 0.7457
Tm1 0.5945 0.2334 0.4809
Tm2 0.3074 0.7334 0.7351

---

Below is TmZrTe after structural relaxation, with properties calculated at the PBE-GGA level.

energy relative to the elements, uncorrected	-0.605	eV per atom
V	76.3	Å³ per cell

Cell lengths 3.7441, 3.7441, 6.0543 Å; angles 108.01, 108.01, 90.00 degrees
Atoms (fractional coordinates):
Tm1 0.9981 0.9981 0.9963
Zr1 0.3143 0.3143 0.6285
Te1 0.6876 0.6876 0.3752

---

Below is Tm2ZrTe after structural relaxation, with properties calculated at the PBE-GGA level.

energy relative to the elements, uncorrected	-0.403	eV per atom
V	111.8	Å³ per cell

Cell lengths 3.6881, 3.6885, 9.4923 Å; angles 90.00, 90.00, 60.00 degrees
Atoms (fractional coordinates):
Zr1 0.6296 0.0327 0.4496
Tm1 0.2966 0.6988 0.7174
Tm2 0.2964 0.6988 0.1820
Te1 0.6299 0.0320 0.9497

---

Below is TmZr2Te after structural relaxation, with properties calculated at the PBE-GGA level.

energy relative to the elements, uncorrected	0.117	eV per atom
V	106.8	Å³ per cell

Cell lengths 3.4671, 3.4671, 10.4545 Å; angles 80.46, 80.46, 60.00 degrees
Atoms (fractional coordinates):
Te1 0.5000 0.5000 0.5000
Tm1 0.0000 0.0000 0.0000
Zr1 0.0970 0.0970 0.7089
Zr2 0.9030 0.9030 0.2911

---

Below is TmZrTe after structural relaxation, with properties calculated at the PBE-GGA level.

energy relative to the elements, uncorrected	-0.741	eV per atom
V	162.6	Å³ per cell

Cell lengths 4.0543, 4.0543, 9.8923 Å; angles 90.00, 90.00, 90.00 degrees
Atoms (fractional coordinates):
Te1 0.5000 0.0000 0.3719
Te2 0.0000 0.5000 0.6281
Tm1 0.0000 0.5000 0.2716
Tm2 0.5000 0.0000 0.7284
Zr1 0.0000 0.5000 0.9426
Zr2 0.5000 0.0000 0.0574

---

Below is TmZrTe after structural relaxation, with properties calculated at the PBE-GGA level.

energy relative to the elements, uncorrected	-0.474	eV per atom
V	337.6	Å³ per cell

Cell lengths 3.8336, 9.5819, 9.4248 Å; angles 94.95, 101.73, 90.00 degrees
Atoms (fractional coordinates):
Te1 0.3606 0.8908 0.7212
Te2 0.3662 0.4012 0.7324
Te3 0.6338 0.5988 0.2676
Te4 0.6394 0.1092 0.2788
Tm1 0.0969 0.3443 0.1938
Tm2 0.9031 0.6557 0.8062
Tm3 0.5408 0.8371 0.0815
Tm4 0.4592 0.1629 0.9185
Zr1 0.7453 0.3753 0.4906
Zr2 0.7399 0.8705 0.4797
Zr3 0.2547 0.6247 0.5094
Zr4 0.2601 0.1295 0.5203

---

Below is Tm2ZrTe after structural relaxation, with properties calculated at the PBE-GGA level.

energy relative to the elements, uncorrected	-0.405	eV per atom
V	112.2	Å³ per cell

Cell lengths 3.7172, 3.7172, 9.6199 Å; angles 78.86, 78.86, 60.00 degrees
Atoms (fractional coordinates):
Te1 0.6667 0.6667 0.9998
Tm1 0.2562 0.2562 0.2314
Tm2 0.0776 0.0776 0.7672
Zr1 0.4995 0.4995 0.5016

---

Below is TmZrTe after structural relaxation, with properties calculated at the PBE-GGA level.

energy relative to the elements, uncorrected	-0.320	eV per atom
V	79.5	Å³ per cell

Cell lengths 3.7428, 4.9510, 4.9510 Å; angles 120.00, 90.00, 90.00 degrees
Atoms (fractional coordinates):
Zr1 0.1669 0.0000 0.0000
Tm1 0.6668 0.6667 0.3333
Te1 0.1663 0.3333 0.6667